RbMnPb2O4 | GGA+U | relaxed

a = 7.186 Å, b = 7.186 Å, c = 8.618 Å
α = 126.84°, β = 126.84°, γ = 74.12°
Each line ends with the local moment (μB).
Sites, in units of the cell vectors:
Pb: 0.000 0.000 0.500  -0.02
Pb: 0.500 0.500 0.000  -0.02
Pb: 0.500 0.000 0.000  0.01
Pb: 0.500 0.000 0.500  0.01
O: 0.684 0.240 0.462  -0.07
O: 0.740 0.184 0.962  -0.07
O: 0.499 0.499 0.723  -0.05
O: 0.316 0.760 0.538  -0.07
O: 0.501 0.501 0.277  -0.05
O: 0.260 0.816 0.038  -0.07
O: 0.001 0.001 0.777  -0.05
O: 0.999 0.999 0.223  -0.05
Mn: 0.000 0.000 0.000  3.85
Mn: 0.500 0.500 0.500  3.85
Rb: 0.000 0.500 0.000  0.00
Rb: 0.000 0.500 0.500  0.00

Output
Size of the total moment, μB/f.u.: 3.8
Fermi-level density of states, states/eV/cell: 3.29
Final energy, eV per atom: -5.53
Crystal system: monoclinic